(1)
{"formula": "Ba2GeIr2", "functional": "PBE", "state": "relaxed", "lattice_angstrom": [[3.678, 0.000, 0.000], [0.000, 3.678, 0.000], [0.000, 0.000, 20.420]], "species": ["Ba", "Ba", "Ba", "Ba", "Ge", "Ge", "Ir", "Ir", "Ir", "Ir"], "frac_coords": [[0.000, 0.000, 0.111], [0.000, 0.000, 0.889], [0.500, 0.500, 0.389], [0.500, 0.500, 0.611], [0.000, 0.000, 0.500], [0.500, 0.500, 0.000], [0.000, 0.500, 0.250], [0.000, 0.500, 0.750], [0.500, 0.000, 0.250], [0.500, 0.000, 0.750]], "sg": "I4/mmm (139)", "crystal_system": "tetragonal"}



(2)
{"formula": "BaGe3Ir4", "functional": "PBE", "state": "relaxed", "lattice_angstrom": [[5.577, 0.000, 0.000], [0.000, 3.787, 0.000], [-1.595, 0.000, 7.402]], "species": ["Ba", "Ge", "Ge", "Ge", "Ir", "Ir", "Ir", "Ir"], "frac_coords": [[0.000, 0.000, 0.000], [0.452, 0.500, 0.822], [0.470, 0.000, 0.326], [0.897, 0.500, 0.533], [0.178, 0.500, 0.327], [0.212, 0.000, 0.624], [0.631, 0.500, 0.182], [0.683, 0.000, 0.641]], "sg": "Pm (6)", "crystal_system": "monoclinic"}



(3)
{"formula": "BaGeIr", "functional": "PBE", "state": "relaxed", "lattice_angstrom": [[6.861, 0.000, 0.000], [0.000, 6.861, 0.000], [0.000, 0.000, 6.861]], "species": ["Ba", "Ba", "Ba", "Ba", "Ge", "Ge", "Ge", "Ge", "Ir", "Ir", "Ir", "Ir"], "frac_coords": [[0.000, 0.000, 0.000], [0.000, 0.500, 0.500], [0.500, 0.000, 0.500], [0.500, 0.500, 0.000], [0.000, 0.000, 0.500], [0.000, 0.500, 0.000], [0.500, 0.000, 0.000], [0.500, 0.500, 0.500], [0.250, 0.250, 0.250], [0.250, 0.750, 0.750], [0.750, 0.250, 0.750], [0.750, 0.750, 0.250]], "sg": "F-43m (216)", "crystal_system": "cubic"}



(4)
{"formula": "Ba2MgGe2Ir", "functional": "PBE", "state": "relaxed", "lattice_angstrom": [[4.524, 0.000, 0.000], [0.000, 4.524, 0.000], [0.000, 0.000, 7.702]], "species": ["Ba", "Ba", "Mg", "Ge", "Ge", "Ir"], "frac_coords": [[0.000, 0.500, 0.166], [0.500, 0.000, 0.834], [0.500, 0.500, 0.500], [0.000, 0.500, 0.676], [0.500, 0.000, 0.324], [0.000, 0.000, 0.500]], "sg": "P-4m2 (115)", "crystal_system": "tetragonal"}



(5)
{"formula": "BaGePIr2", "functional": "PBE", "state": "relaxed", "lattice_angstrom": [[4.069, 0.000, 0.000], [0.000, 4.069, 0.000], [0.000, 0.000, 12.844]], "species": ["Ba", "Ba", "Ge", "Ge", "P", "P", "Ir", "Ir", "Ir", "Ir"], "frac_coords": [[0.000, 0.000, 0.000], [0.500, 0.500, 0.500], [0.000, 0.000, 0.648], [0.500, 0.500, 0.148], [0.000, 0.000, 0.352], [0.500, 0.500, 0.852], [0.000, 0.500, 0.262], [0.000, 0.500, 0.762], [0.500, 0.000, 0.262], [0.500, 0.000, 0.762]], "sg": "I4mm (107)", "crystal_system": "tetragonal"}



(6)
{"formula": "BaSnGe2Ir", "functional": "PBE", "state": "relaxed", "lattice_angstrom": [[4.706, 0.000, 0.000], [0.000, 4.706, 0.000], [0.000, 0.000, 10.634]], "species": ["Ba", "Ba", "Sn", "Sn", "Ge", "Ge", "Ge", "Ge", "Ir", "Ir"], "frac_coords": [[0.000, 0.000, 0.000], [0.500, 0.500, 0.500], [0.000, 0.000, 0.594], [0.500, 0.500, 0.094], [0.000, 0.500, 0.256], [0.000, 0.500, 0.756], [0.500, 0.000, 0.256], [0.500, 0.000, 0.756], [0.000, 0.000, 0.344], [0.500, 0.500, 0.844]], "sg": "I4mm (107)", "crystal_system": "tetragonal"}



Number 1: DFT total energy -5.21 eV/atom, magnetic moment 0.01 μB/f.u.. Number 2: DFT total energy -6.48 eV/atom, magnetic moment 0.01 μB/f.u.. Number 3: DFT total energy -4.97 eV/atom, magnetic moment 0.01 μB/f.u.. Number 4: DFT total energy -4.33 eV/atom, magnetic moment 0.01 μB/f.u.. Number 5: DFT total energy -6.69 eV/atom, magnetic moment 0.00 μB/f.u.. Number 6: DFT total energy -5.31 eV/atom, magnetic moment 0.00 μB/f.u..